The following is a DFT calculation (PBE) of a relaxed Li2SmMg2 crystal.

Values from the calculation:
Total DFT energy (no corrections) = -2.28 eV/atom
Symmetry = I4/mmm
ΔH_f (0 K) = 0.062 eV/atom
Offset from the most stable computed form = 101 meV/atom

CIF file:
```
data_Li2SmMg2
_cell_length_a 7.8696
_cell_length_b 7.8696
_cell_length_c 7.8696
_cell_angle_alpha 149.58
_cell_angle_beta 149.58
_cell_angle_gamma 43.56
_symmetry_space_group_name_H-M 'P 1'
_symmetry_Int_Tables_number 1
_symmetry_space_group_name_Hall 'P 1'
loop_
_atom_site_label
_atom_site_type_symbol
_atom_site_fract_x
_atom_site_fract_y
_atom_site_fract_z
Li1 Li 0.2500 0.7500 0.5000
Li2 Li 0.7500 0.2500 0.5000
Sm1 Sm 0.0000 0.0000 0.0000
Mg1 Mg 0.3938 0.3938 0.0000
Mg2 Mg 0.6062 0.6062 0.0000
```

The following is a DFT calculation (PBE) of a relaxed Zr2MnBe crystal.

Values from the calculation:
Total DFT energy (no corrections) = -7.58 eV/atom
Symmetry = Pm
ΔH_f (0 K) = -0.082 eV/atom

CIF file:
```
data_Zr2MnBe
_cell_length_a 3.5010
_cell_length_b 3.8488
_cell_length_c 5.2875
_cell_angle_alpha 90.00
_cell_angle_beta 109.18
_cell_angle_gamma 90.00
_symmetry_space_group_name_H-M 'P 1'
_symmetry_Int_Tables_number 1
_symmetry_space_group_name_Hall 'P 1'
loop_
_atom_site_label
_atom_site_type_symbol
_atom_site_fract_x
_atom_site_fract_y
_atom_site_fract_z
Zr1 Zr 0.0000 0.0000 0.0000
Zr2 Zr 0.2863 0.5000 0.5750
Mn1 Mn 0.7072 0.0000 0.4158
Be1 Be 0.5767 0.5000 0.1542
```

The following is a DFT calculation (PBE) of a relaxed NaCaNb crystal.

Values from the calculation:
Total DFT energy (no corrections) = -3.63 eV/atom
Symmetry = P-6m2
ΔH_f (0 K) = 0.832 eV/atom
Offset from the most stable computed form = 644 meV/atom

CIF file:
```
data_NaCaNb
_cell_length_a 5.6222
_cell_length_b 5.6222
_cell_length_c 7.1053
_cell_angle_alpha 90.00
_cell_angle_beta 90.00
_cell_angle_gamma 120.00
_symmetry_space_group_name_H-M 'P 1'
_symmetry_Int_Tables_number 1
_symmetry_space_group_name_Hall 'P 1'
loop_
_atom_site_label
_atom_site_type_symbol
_atom_site_fract_x
_atom_site_fract_y
_atom_site_fract_z
Na1 Na 0.0000 0.0000 0.0000
Na2 Na 0.0000 0.0000 0.5000
Ca1 Ca 0.6667 0.3333 0.2344
Ca2 Ca 0.6667 0.3333 0.7656
Nb1 Nb 0.3333 0.6667 0.1528
Nb2 Nb 0.3333 0.6667 0.8472
```

The following is a DFT calculation (PBE) of a relaxed Cs2SnGe2 crystal.

Values from the calculation:
Total DFT energy (no corrections) = -3.10 eV/atom
Symmetry = C2/m
ΔH_f (0 K) = -0.113 eV/atom
Offset from the most stable computed form = 0 meV/atom

CIF file:
```
data_Cs2SnGe2
_cell_length_a 7.7731
_cell_length_b 7.7731
_cell_length_c 8.6362
_cell_angle_alpha 102.37
_cell_angle_beta 102.37
_cell_angle_gamma 112.16
_symmetry_space_group_name_H-M 'P 1'
_symmetry_Int_Tables_number 1
_symmetry_space_group_name_Hall 'P 1'
loop_
_atom_site_label
_atom_site_type_symbol
_atom_site_fract_x
_atom_site_fract_y
_atom_site_fract_z
Cs1 Cs 0.0692 0.3803 0.2686
Cs2 Cs 0.3803 0.0692 0.2686
Cs3 Cs 0.6197 0.9308 0.7314
Cs4 Cs 0.9308 0.6197 0.7314
Sn1 Sn 0.3761 0.6239 0.0000
Sn2 Sn 0.6239 0.3761 0.0000
Ge1 Ge 0.1971 0.1971 0.8651
Ge2 Ge 0.3620 0.3620 0.6933
Ge3 Ge 0.6380 0.6380 0.3067
Ge4 Ge 0.8029 0.8029 0.1349
```

The following is a DFT calculation (PBE) of a relaxed Nd5Dy2Tl5 crystal.

Values from the calculation:
Total DFT energy (no corrections) = -3.96 eV/atom
Symmetry = C2/m
ΔH_f (0 K) = -0.218 eV/atom

CIF file:
```
data_Nd5Dy2Tl5
_cell_length_a 6.5254
_cell_length_b 6.5254
_cell_length_c 13.9784
_cell_angle_alpha 112.50
_cell_angle_beta 112.50
_cell_angle_gamma 44.96
_symmetry_space_group_name_H-M 'P 1'
_symmetry_Int_Tables_number 1
_symmetry_space_group_name_Hall 'P 1'
loop_
_atom_site_label
_atom_site_type_symbol
_atom_site_fract_x
_atom_site_fract_y
_atom_site_fract_z
Nd1 Nd 0.0000 0.0000 0.0000
Nd2 Nd 0.1641 0.1641 0.5259
Nd3 Nd 0.2109 0.2109 0.8078
Nd4 Nd 0.7891 0.7891 0.1922
Nd5 Nd 0.8359 0.8359 0.4741
Dy1 Dy 0.4689 0.4689 0.7102
Dy2 Dy 0.5311 0.5311 0.2898
Tl1 Tl 0.1891 0.1891 0.2877
Tl2 Tl 0.3462 0.3462 0.0577
Tl3 Tl 0.5000 0.5000 0.5000
Tl4 Tl 0.6538 0.6538 0.9423
Tl5 Tl 0.8109 0.8109 0.7123
```

The following is a DFT calculation (PBE) of a relaxed Pm4TlTe2 crystal.

Values from the calculation:
Total DFT energy (no corrections) = -4.78 eV/atom
Symmetry = I4_1/amd
Energy relative to the elements, uncorrected = -0.835 eV/atom

CIF file:
```
data_Pm4TlTe2
_cell_length_a 8.4932
_cell_length_b 8.4932
_cell_length_c 8.4932
_cell_angle_alpha 108.93
_cell_angle_beta 108.93
_cell_angle_gamma 110.57
_symmetry_space_group_name_H-M 'P 1'
_symmetry_Int_Tables_number 1
_symmetry_space_group_name_Hall 'P 1'
loop_
_atom_site_label
_atom_site_type_symbol
_atom_site_fract_x
_atom_site_fract_y
_atom_site_fract_z
Pm1 Pm 0.1851 0.2454 0.5603
Pm2 Pm 0.1851 0.6247 0.9397
Pm3 Pm 0.2454 0.1851 0.0603
Pm4 Pm 0.3753 0.8149 0.5603
Pm5 Pm 0.6247 0.1851 0.4397
Pm6 Pm 0.7546 0.8149 0.9397
Pm7 Pm 0.8149 0.3753 0.0603
Pm8 Pm 0.8149 0.7546 0.4397
Tl1 Tl 0.1250 0.8750 0.2500
Tl2 Tl 0.8750 0.1250 0.7500
Te1 Te 0.0000 0.5000 0.5000
Te2 Te 0.5000 0.0000 0.0000
Te3 Te 0.5000 0.5000 0.0000
Te4 Te 0.5000 0.5000 0.5000
```

The following is a DFT calculation (PBE) of a relaxed Na3Tb2BiS6 crystal.

Values from the calculation:
Total DFT energy (no corrections) = -4.97 eV/atom
Symmetry = C2/m
Energy relative to the elements, uncorrected = -1.481 eV/atom

CIF file:
```
data_Na3Tb2BiS6
_cell_length_a 6.9856
_cell_length_b 6.9856
_cell_length_c 7.1012
_cell_angle_alpha 99.44
_cell_angle_beta 99.44
_cell_angle_gamma 120.00
_symmetry_space_group_name_H-M 'P 1'
_symmetry_Int_Tables_number 1
_symmetry_space_group_name_Hall 'P 1'
loop_
_atom_site_label
_atom_site_type_symbol
_atom_site_fract_x
_atom_site_fract_y
_atom_site_fract_z
Na1 Na 0.0000 0.0000 0.0000
Na2 Na 0.3366 0.6634 0.0000
Na3 Na 0.6634 0.3366 0.0000
Tb1 Tb 0.1670 0.8330 0.5000
Tb2 Tb 0.8330 0.1670 0.5000
Bi1 Bi 0.5000 0.5000 0.5000
S1 S 0.0830 0.4232 0.2699
S2 S 0.2364 0.2364 0.7300
S3 S 0.4232 0.0830 0.2699
S4 S 0.5768 0.9170 0.7301
S5 S 0.7636 0.7636 0.2700
S6 S 0.9170 0.5768 0.7301
```

The following is a DFT calculation (PBE) of a relaxed Hf8Si2C3 crystal.

Values from the calculation:
Total DFT energy (no corrections) = -9.56 eV/atom
Symmetry = C2/m
Energy relative to the elements, uncorrected = -0.472 eV/atom

CIF file:
```
data_Hf8Si2C3
_cell_length_a 7.1430
_cell_length_b 7.1430
_cell_length_c 5.8944
_cell_angle_alpha 103.84
_cell_angle_beta 103.84
_cell_angle_gamma 55.35
_symmetry_space_group_name_H-M 'P 1'
_symmetry_Int_Tables_number 1
_symmetry_space_group_name_Hall 'P 1'
loop_
_atom_site_label
_atom_site_type_symbol
_atom_site_fract_x
_atom_site_fract_y
_atom_site_fract_z
Hf1 Hf 0.0972 0.0972 0.4134
Hf2 Hf 0.1516 0.6511 0.1135
Hf3 Hf 0.3489 0.8484 0.8865
Hf4 Hf 0.3986 0.3986 0.6069
Hf5 Hf 0.6014 0.6014 0.3931
Hf6 Hf 0.6511 0.1516 0.1135
Hf7 Hf 0.8484 0.3489 0.8865
Hf8 Hf 0.9028 0.9028 0.5866
Si1 Si 0.2471 0.2471 0.1765
Si2 Si 0.7529 0.7529 0.8235
C1 C 0.2627 0.7373 0.5000
C2 C 0.5000 0.5000 0.0000
C3 C 0.7373 0.2627 0.5000
```

The following is a DFT calculation (PBE) of a relaxed CdBTe2I crystal.

Values from the calculation:
Total DFT energy (no corrections) = -2.45 eV/atom
Symmetry = P4/mmm
Energy relative to the elements, uncorrected = 0.634 eV/atom
Offset from the most stable computed form = 0 meV/atom

CIF file:
```
data_CdBTe2I
_cell_length_a 5.0355
_cell_length_b 5.0355
_cell_length_c 4.9915
_cell_angle_alpha 90.00
_cell_angle_beta 90.00
_cell_angle_gamma 90.00
_symmetry_space_group_name_H-M 'P 1'
_symmetry_Int_Tables_number 1
_symmetry_space_group_name_Hall 'P 1'
loop_
_atom_site_label
_atom_site_type_symbol
_atom_site_fract_x
_atom_site_fract_y
_atom_site_fract_z
Cd1 Cd 0.0000 0.0000 0.0000
B1 B 0.5000 0.5000 0.5000
Te1 Te 0.0000 0.5000 0.5000
Te2 Te 0.5000 0.0000 0.5000
I1 I 0.5000 0.5000 0.0000
```

The following is a DFT calculation (PBE) of a relaxed YBe2Au6 crystal.

Values from the calculation:
Total DFT energy (no corrections) = -3.90 eV/atom
Symmetry = Fd-3m
ΔH_f (0 K) = -0.169 eV/atom
Offset from the most stable computed form = 63 meV/atom

CIF file:
```
data_YBe2Au6
_cell_length_a 7.9657
_cell_length_b 7.9657
_cell_length_c 7.9657
_cell_angle_alpha 60.00
_cell_angle_beta 60.00
_cell_angle_gamma 60.00
_symmetry_space_group_name_H-M 'P 1'
_symmetry_Int_Tables_number 1
_symmetry_space_group_name_Hall 'P 1'
loop_
_atom_site_label
_atom_site_type_symbol
_atom_site_fract_x
_atom_site_fract_y
_atom_site_fract_z
Y1 Y 0.1250 0.1250 0.1250
Y2 Y 0.8750 0.8750 0.8750
Be1 Be 0.0000 0.5000 0.5000
Be2 Be 0.5000 0.0000 0.5000
Be3 Be 0.5000 0.5000 0.0000
Be4 Be 0.5000 0.5000 0.5000
Au1 Au 0.1443 0.1443 0.6057
Au2 Au 0.1443 0.6057 0.1443
Au3 Au 0.1443 0.6057 0.6057
Au4 Au 0.3943 0.3943 0.8557
Au5 Au 0.3943 0.8557 0.3943
Au6 Au 0.3943 0.8557 0.8557
Au7 Au 0.6057 0.1443 0.1443
Au8 Au 0.6057 0.1443 0.6057
Au9 Au 0.6057 0.6057 0.1443
Au10 Au 0.8557 0.3943 0.3943
Au11 Au 0.8557 0.3943 0.8557
Au12 Au 0.8557 0.8557 0.3943
```

The following is a DFT calculation (PBE) of a relaxed HfPaMoAu crystal.

Values from the calculation:
Total DFT energy (no corrections) = -8.46 eV/atom
Symmetry = F-43m
ΔH_f (0 K) = -0.070 eV/atom

CIF file:
```
data_HfPaMoAu
_cell_length_a 4.8823
_cell_length_b 4.8823
_cell_length_c 4.8823
_cell_angle_alpha 60.00
_cell_angle_beta 60.00
_cell_angle_gamma 60.00
_symmetry_space_group_name_H-M 'P 1'
_symmetry_Int_Tables_number 1
_symmetry_space_group_name_Hall 'P 1'
loop_
_atom_site_label
_atom_site_type_symbol
_atom_site_fract_x
_atom_site_fract_y
_atom_site_fract_z
Hf1 Hf 0.0000 0.0000 0.0000
Pa1 Pa 0.5000 0.5000 0.5000
Mo1 Mo 0.7500 0.7500 0.7500
Au1 Au 0.2500 0.2500 0.2500
```

The following is a DFT calculation (PBE) of a relaxed Pr5Pu2O12 crystal.

Values from the calculation:
Total DFT energy (no corrections) = -9.08 eV/atom
Symmetry = C2/m
Energy relative to the elements, uncorrected = -3.184 eV/atom

CIF file:
```
data_Pr5Pu2O12
_cell_length_a 7.2975
_cell_length_b 7.2975
_cell_length_c 7.7940
_cell_angle_alpha 105.56
_cell_angle_beta 105.56
_cell_angle_gamma 52.35
_symmetry_space_group_name_H-M 'P 1'
_symmetry_Int_Tables_number 1
_symmetry_space_group_name_Hall 'P 1'
loop_
_atom_site_label
_atom_site_type_symbol
_atom_site_fract_x
_atom_site_fract_y
_atom_site_fract_z
Pr1 Pr 0.0000 0.0000 0.0000
Pr2 Pr 0.2988 0.2988 0.1347
Pr3 Pr 0.3049 0.3049 0.6740
Pr4 Pr 0.6951 0.6951 0.3260
Pr5 Pr 0.7012 0.7012 0.8653
Pu1 Pu 0.2458 0.7542 0.5000
Pu2 Pu 0.7542 0.2458 0.5000
O1 O 0.9996 0.9996 0.3078
O2 O 0.0004 0.0004 0.6922
O3 O 0.0948 0.5946 0.9250
O4 O 0.1009 0.5636 0.4143
O5 O 0.4054 0.9052 0.0750
O6 O 0.4364 0.8991 0.5857
O7 O 0.4982 0.4982 0.6901
O8 O 0.5018 0.5018 0.3099
O9 O 0.5636 0.1009 0.4143
O10 O 0.5946 0.0948 0.9250
O11 O 0.8991 0.4364 0.5857
O12 O 0.9052 0.4054 0.0750
```